Record 1
# SmTmSe2

An optimized crystal structure of SmTmSe2 (PBE, Alexandria).

Calculated values
As for the magnetization: 0.00 Bohr magnetons per cell. The calculation puts the density of states at the Fermi level at 2.0 states/eV/cell. Its uncorrected formation energy is -5.3 eV per formula unit. The space-group type is No. 166.

Cell: 4.1318 4.1318 9.1371 Å, 76.93 76.93 60.00°
Positions (direct):
Tm  0.0000  0.0000  0.0000
Se  0.1038  0.1038  0.6888
Se  0.8962  0.8962  0.3112
Sm  0.5000  0.5000  0.5000

---

Record 2
# Sm2TmSe

An optimized crystal structure of Sm2TmSe (PBE, Alexandria).

Calculated values
As for the magnetization: 0.00 Bohr magnetons per cell. The calculation puts the density of states at the Fermi level at 3.6 states/eV/cell. Its uncorrected formation energy is -2.7 eV per formula unit. The space-group type is No. 123.

Cell: 3.6510 3.6510 8.5654 Å, 90.00 90.00 90.00°
Positions (direct):
Tm  0.5000  0.5000  0.5000
Se  0.5000  0.5000  0.0000
Sm  0.0000  0.0000  0.7904
Sm  0.0000  0.0000  0.2096

---

Record 3
# SmTmSe3

An optimized crystal structure of SmTmSe3 (PBE, Alexandria).

Calculated values
As for the magnetization: 0.00 Bohr magnetons per cell. Its uncorrected formation energy is -9.3 eV per formula unit. The space-group type is No. 62.

Cell: 4.0878 7.6808 15.9786 Å, 90.00 90.00 90.00°
Positions (direct):
Sm  0.7500  0.8601  0.7989
Sm  0.2500  0.1399  0.2011
Sm  0.7500  0.3601  0.7011
Sm  0.2500  0.6399  0.2989
Tm  0.2500  0.2712  0.9578
Tm  0.2500  0.7712  0.5422
Tm  0.7500  0.2288  0.4578
Tm  0.7500  0.7288  0.0422
Se  0.2500  0.3785  0.5628
Se  0.7500  0.8476  0.2151
Se  0.7500  0.4908  0.8947
Se  0.7500  0.9908  0.6053
Se  0.7500  0.6215  0.4372
Se  0.2500  0.0092  0.3947
Se  0.2500  0.8785  0.9372
Se  0.7500  0.3476  0.2849
Se  0.2500  0.6524  0.7151
Se  0.2500  0.1524  0.7849
Se  0.7500  0.1215  0.0628
Se  0.2500  0.5092  0.1053

---

Record 4
# Sm2Tm2Se5

An optimized crystal structure of Sm2Tm2Se5 (PBE, Alexandria).

Calculated values
As for the magnetization: 0.00 Bohr magnetons per cell. The calculation puts the density of states at the Fermi level at 12.4 states/eV/cell. Its uncorrected formation energy is -15.4 eV per formula unit. The space-group type is No. 64.

Cell: 7.6485 8.3138 8.3138 Å, 124.85 90.00 90.00°
Positions (direct):
Sm  0.0000  0.8022  0.1978
Sm  0.5000  0.3022  0.6978
Sm  0.0000  0.1978  0.8022
Sm  0.5000  0.6978  0.3022
Tm  0.3442  0.1508  0.1508
Tm  0.6558  0.8492  0.8492
Tm  0.8442  0.3492  0.3492
Tm  0.1558  0.6508  0.6508
Se  0.0000  0.0000  0.0000
Se  0.5000  0.5000  0.5000
Se  0.1548  0.2056  0.4760
Se  0.8452  0.5240  0.7944
Se  0.6548  0.0240  0.2944
Se  0.3452  0.7056  0.9760
Se  0.8452  0.7944  0.5240
Se  0.1548  0.4760  0.2056
Se  0.3452  0.9760  0.7056
Se  0.6548  0.2944  0.0240

---

Record 5
# SmTm6Se8

An optimized crystal structure of SmTm6Se8 (PBE, Alexandria).

Calculated values
As for the magnetization: 0.00 Bohr magnetons per cell. The calculation puts the density of states at the Fermi level at 7.3 states/eV/cell. Its uncorrected formation energy is -23.8 eV per formula unit. The space-group type is No. 148.

Cell: 8.5831 8.5831 7.5835 Å, 55.53 55.53 60.00°
Positions (direct):
Sm  0.0000  0.0000  0.0000
Tm  0.4581  0.0790  0.7626
Tm  0.9210  0.2998  0.2374
Tm  0.2998  0.5419  0.2374
Tm  0.7002  0.4581  0.7626
Tm  0.0790  0.7002  0.7626
Tm  0.5419  0.9210  0.2374
Se  0.6287  0.1960  0.2764
Se  0.8040  0.1011  0.7236
Se  0.1011  0.3713  0.7236
Se  0.6751  0.6751  0.9747
Se  0.3249  0.3249  0.0253
Se  0.8989  0.6287  0.2764
Se  0.1960  0.8989  0.2764
Se  0.3713  0.8040  0.7236

---

Record 6
# SmTm2Se3

An optimized crystal structure of SmTm2Se3 (PBE, Alexandria).

Calculated values
As for the magnetization: 0.00 Bohr magnetons per cell. The calculation puts the density of states at the Fermi level at 2.7 states/eV/cell. Its uncorrected formation energy is -10.3 eV per formula unit. The space-group type is No. 71.

Cell: 4.0683 5.7425 7.0638 Å, 113.98 106.74 90.00°
Positions (direct):
Sm  0.5000  0.5000  0.5000
Tm  0.8402  0.8402  0.1804
Tm  0.1598  0.1598  0.8196
Se  0.8235  0.3235  0.1469
Se  0.1765  0.6765  0.8531
Se  0.5000  0.0000  0.5000